# 1
PBE-GGA Cu2PtCl, relaxed; offset from the most stable computed form = 0.1993 eV/atom
1.0
9.1763 0.0646 0.0380
8.7061 2.9004 0.0380
8.7061 1.4435 2.5160
Cu Pt Cl
2 1 1
direct
0.9962 0.9962 0.9962
0.2593 0.2593 0.2593
0.5185 0.5185 0.5185
0.7261 0.7261 0.7261

# 2
PBE-GGA TaRu4, relaxed; offset from the most stable computed form = 1.3840 eV/atom
1.0
-2.8555 2.8555 2.8555
2.8555 -2.8555 2.8555
2.8555 2.8555 -2.8555
Ta Ru
1 4
direct
0.0000 0.0000 0.0000
0.5000 0.0000 0.0000
0.5000 0.5000 0.5000
0.0000 0.5000 0.0000
0.0000 0.0000 0.5000

# 3
The following is a PBE-GGA calculation of a relaxed BaAcRhO4 crystal, from Alexandria via LeMat-Bulk.

```
BaAcRhO4
1.0
-3.7029 -1.6993 -0.2474
1.7089 -3.7044 -0.1326
0.7256 2.3428 6.7203
Ba Ac Rh O
1 1 1 4
direct
0.6433 0.6433 0.2866
0.3625 0.3625 0.7250
0.0081 0.0081 0.0162
0.9856 0.4856 0.9713
0.4856 0.9856 0.9713
0.8431 0.8431 0.6862
0.1717 0.1717 0.3435
```

# 4
The following is a PBE-GGA calculation of a relaxed La2Pm4NdEr crystal, from Alexandria via LeMat-Bulk.

```
La2Pm4NdEr
1.0
-5.6832 5.9694 -9.6807
-6.4702 -0.8159 3.2905
8.7148 0.6612 9.2221
La Pm Nd Er
4 8 2 2
direct
0.5000 0.0001 0.0000
0.5000 0.0000 0.5000
0.0000 0.0000 0.5000
0.5000 0.5000 0.0000
0.2485 0.7512 0.0011
0.7486 0.2512 0.5011
0.2515 0.7488 0.4989
0.7516 0.2488 0.9990
0.7514 0.7487 0.9967
0.7492 0.7506 0.5029
0.2508 0.2493 0.4971
0.2486 0.2513 0.0032
0.0000 0.5000 0.0000
0.0000 0.5000 0.5000
0.5000 0.5000 0.5000
0.0000 0.0000 0.0000
```

# 5
PBE-GGA La3GePb, relaxed; offset from the most stable computed form = 0.0309 eV/atom
1.0
-2.6997 -8.2377 1.1163
8.1776 -2.2658 1.9568
-0.7913 1.5643 8.5302
La Ge Pb
12 4 4
direct
0.5868 0.8316 0.0218
0.9132 0.9782 0.1684
0.4132 0.1684 0.9782
0.0868 0.0218 0.8316
0.8256 0.4312 0.0706
0.6744 0.9294 0.5688
0.1744 0.5688 0.9294
0.3256 0.0706 0.4312
0.5845 0.5335 0.7097
0.9155 0.2903 0.4665
0.4155 0.4665 0.2903
0.0845 0.7097 0.5335
0.8649 0.7310 0.8299
0.6351 0.1701 0.2690
0.1351 0.2690 0.1701
0.3649 0.8299 0.7310
0.2500 0.8163 0.1837
0.7500 0.1837 0.8163
0.2500 0.3564 0.6436
0.7500 0.6436 0.3564

# 6
The following is a PBE-GGA calculation of a relaxed Sr2LaAl crystal, from Alexandria via LeMat-Bulk.

```
Sr2LaAl
1.0
-2.9088 -4.2768 1.2364
1.6015 -1.9124 -2.8476
6.6019 -3.9158 1.9866
Sr Al La
2 1 1
direct
0.0000 0.0132 0.0211
0.0000 0.4868 0.4789
0.5000 0.2500 0.2500
0.5000 0.7500 0.7500
```

# 7
PBE-GGA Cs2HgSe2, relaxed; offset from the most stable computed form = 0.0000 eV/atom
1.0
4.7143 -0.5869 -2.3119
-0.2837 4.9581 -1.8372
-2.7735 1.3183 11.6167
Cs Hg Se
2 1 2
direct
0.5189 0.3447 0.6894
0.4811 0.6553 0.3106
0.5000 0.0000 0.0000
0.9352 0.1390 0.2779
0.0648 0.8610 0.7221

# 8
PBE-GGA CsSrBi4, relaxed; offset from the most stable computed form = 0.0387 eV/atom
1.0
6.8386 0.0000 0.0000
3.4193 5.9224 0.0000
3.4193 1.9741 5.5837
Cs Sr Bi
1 1 4
direct
0.2500 0.2500 0.2500
0.0000 0.0000 0.0000
0.6256 0.6256 0.1232
0.6256 0.1232 0.6256
0.6256 0.6256 0.6256
0.1232 0.6256 0.6256

# 9
The following is a PBE-GGA calculation of a relaxed SrZnSn2 crystal, from Alexandria via LeMat-Bulk.

```
SrZnSn2
1.0
-2.4732 1.4972 3.6676
-0.5199 -2.7441 3.7429
4.0002 1.9290 4.8834
Sr Zn Sn
1 1 2
direct
0.5000 0.5000 0.5000
0.0000 0.0000 0.0000
0.2820 0.2820 0.1541
0.7180 0.7180 0.8459
```

# 10
The following is a PBE-GGA calculation of a relaxed CoSiNi2 crystal, from Alexandria via LeMat-Bulk.

```
CoSiNi2
1.0
2.6976 0.0000 0.0000
0.0000 2.6976 0.0000
0.0000 0.0000 5.9806
Co Ni Si
1 2 1
direct
0.5000 0.5000 0.7280
0.0000 0.0000 0.9965
0.5000 0.5000 0.2724
0.0000 0.0000 0.5030
```

# 11
The following is a PBE-GGA calculation of a relaxed Li2LaAg10 crystal, from Alexandria via LeMat-Bulk.

```
Li2LaAg10
1.0
-0.6811 -0.5043 5.3414
-3.4136 -6.2903 1.7087
5.5700 -3.3340 3.1334
Li La Ag
2 1 10
direct
0.0000 0.5000 0.0000
0.5000 0.5000 0.0000
0.0000 0.0000 0.0000
0.3511 0.6441 0.6537
0.6489 0.3559 0.3463
0.9952 0.3559 0.6537
0.0048 0.6441 0.3463
0.0000 0.0000 0.5000
0.5000 0.0000 0.5000
0.2786 0.2312 0.2115
0.7214 0.7688 0.7885
0.5098 0.7688 0.2115
0.4902 0.2312 0.7885
```

# 12
The following is a PBE-GGA calculation of a relaxed Sc8Co2Pt crystal, from Alexandria via LeMat-Bulk.

```
Sc8Co2Pt
1.0
-2.8245 3.9334 -1.2116
0.7908 -2.7611 -6.4700
-4.7327 -3.5322 3.9032
Sc Co Pt
8 2 1
direct
0.5889 0.3300 0.0711
0.5889 0.0711 0.3300
0.1860 0.3723 0.3723
0.0000 0.2351 0.7711
0.0000 0.7711 0.2351
0.8140 0.6338 0.6338
0.4111 0.9352 0.6763
0.4111 0.6763 0.9352
0.4999 0.6920 0.3142
0.4999 0.3142 0.6920
0.9998 0.0030 0.0030
```

no.,VASP energy (eV/atom)
1,-3.86
2,-8.50
3,-6.96
4,-4.76
5,-5.19
6,-2.90
7,-2.69
8,-3.33
9,-3.00
10,-6.27
11,-2.98
12,-6.78